Compound: Zr3Ni6Ge5
Source: Alexandria
Functional: PBE
Structure: relaxed

Structure (POSCAR):
```
Zr3Ni6Ge5
1.0
3.9167 0.0000 0.0000
0.0000 11.9703 0.0000
0.0000 0.0000 8.7974
Zr Ni Ge
6 12 10
direct
0.2500 0.0741 0.2386
0.2500 0.4259 0.2386
0.2500 0.7500 0.2439
0.7500 0.2500 0.7561
0.7500 0.5741 0.7614
0.7500 0.9259 0.7614
0.2500 0.0603 0.5852
0.2500 0.2500 0.0092
0.2500 0.2500 0.4743
0.2500 0.4397 0.5852
0.2500 0.5907 0.9956
0.2500 0.9093 0.9956
0.7500 0.0907 0.0044
0.7500 0.4093 0.0044
0.7500 0.5603 0.4148
0.7500 0.7500 0.5257
0.7500 0.7500 0.9908
0.7500 0.9397 0.4148
0.2500 0.0853 0.8516
0.2500 0.4147 0.8516
0.2500 0.6317 0.5311
0.2500 0.7500 0.8240
0.2500 0.8683 0.5311
0.7500 0.1317 0.4689
0.7500 0.2500 0.1761
0.7500 0.3683 0.4689
0.7500 0.5853 0.1484
0.7500 0.9147 0.1484
```

Its crystal system is orthorhombic. The space group is Pmmn, No. 59. The formation energy is -0.624 eV/atom.